Here is a relaxed BaSrSmMnO6 crystal from the Alexandria database. Energies are from PBE with a Hubbard U.

Lattice parameters (Å, degrees): 5.934 5.934 5.934 60.00 60.00 60.00
Sites, in units of the cell vectors:
Ba  0.000  0.000  0.000
Sr  0.500  0.500  0.500
Sm  0.250  0.250  0.250
Mn  0.750  0.750  0.750
O  0.521  0.521  0.979
O  0.521  0.979  0.521
O  0.521  0.979  0.979
O  0.979  0.521  0.521
O  0.979  0.521  0.979
O  0.979  0.979  0.521

Calculated values
The excess energy over the best structure of this formula in the dataset comes out at 0.004 eV/atom. The crystal system is cubic. The space-group type is F-43m.